Computed, not measured: crystalline ZrZn2SnIr4 at its relaxed geometry at the GGA-PBE level of DFT.

Values from the calculation:
As for the space group: P4/mmm. The total energy is -6.74 eV/atom.

Cell and atoms, written as CIF:
```
data_ZrZn2SnIr4
_space_group_name_H-M_alt 'P 1'
_space_group_IT_number 1
_cell_length_a 4.216
_cell_length_b 4.216
_cell_length_c 7.085
_cell_angle_alpha 90.00
_cell_angle_beta 90.00
_cell_angle_gamma 90.00
loop_
_space_group_symop_operation_xyz
'x,y,z'
loop_
_atom_site_label
_atom_site_fract_x
_atom_site_fract_y
_atom_site_fract_z
_atom_site_occupancy
Zr1 0.000 0.000 0.000 1
Zn1 0.000 0.000 0.500 1
Zn2 0.500 0.500 0.000 1
Sn1 0.500 0.500 0.500 1
Ir1 0.000 0.500 0.256 1
Ir2 0.000 0.500 0.744 1
Ir3 0.500 0.000 0.256 1
Ir4 0.500 0.000 0.744 1
```